# FeGeO2F

A geometry-optimized FeGeO2F structure (PBE with a Hubbard U, Alexandria via LeMat-Bulk).

Volume: 58.9 Å³/cell
Total energy: -27.11 eV per formula unit

a b c (Å): 3.8123 3.8123 4.0558
angles (deg): 90.00 90.00 90.00
Last column: nearest neighbours and their distance in Å.
Atoms (fractional coordinates):
Fe: 0.5000 0.5000 0.5000  4 F 2.70, 8 O 2.78
F: 0.0000 0.0000 0.5000  2 Ge 2.03
Ge: 0.0000 0.0000 0.0000  4 O 1.91, 2 F 2.03
O: 0.0000 0.5000 0.0000  2 Ge 1.91
O: 0.5000 0.0000 0.0000  2 Ge 1.91